No. 1
ErScAl | PBE-GGA | relaxed

Output
Its formation energy from the elements is -0.27 eV/atom. Its density of states at the Fermi level is 2.4 states/eV per cell.

Cell lengths 6.874, 6.874, 6.874 Å; angles 152.25, 152.25, 39.65 degrees
Fractional positions:
Er 0.000 0.000 0.000
Sc 0.696 0.696 0.000
Al 0.339 0.339 0.000


No. 2
ErSc3Al | PBE-GGA | relaxed

Output
Its formation energy from the elements is 0.02 eV/atom. Its density of states at the Fermi level is 15.2 states/eV per cell.

Cell lengths 7.959, 7.959, 10.232 Å; angles 90.00, 90.00, 156.39 degrees
Fractional positions:
Er 0.012 0.988 0.750
Er 0.988 0.012 0.250
Sc 0.156 0.844 0.013
Sc 0.156 0.844 0.487
Sc 0.300 0.700 0.250
Sc 0.700 0.300 0.750
Sc 0.844 0.156 0.513
Sc 0.844 0.156 0.987
Al 0.352 0.648 0.750
Al 0.648 0.352 0.250


No. 3
Er3Sc4Al4 | PBE-GGA | relaxed

Output
Its formation energy from the elements is -0.23 eV/atom. Its density of states at the Fermi level is 10.3 states/eV per cell.

Cell lengths 8.946, 8.946, 8.946 Å; angles 148.01, 136.81, 54.74 degrees
Fractional positions:
Er 0.000 0.000 0.000
Er 0.391 0.891 0.500
Er 0.609 0.109 0.500
Sc 0.047 0.320 0.727
Sc 0.407 0.680 0.727
Sc 0.593 0.320 0.273
Sc 0.953 0.680 0.273
Al 0.183 0.183 0.000
Al 0.294 0.500 0.794
Al 0.706 0.500 0.206
Al 0.817 0.817 0.000


No. 4
Er3ScAl3 | PBE-GGA | relaxed

Output
Its formation energy from the elements is -0.20 eV/atom. Its density of states at the Fermi level is 13.8 states/eV per cell.

Cell lengths 6.172, 6.172, 9.442 Å; angles 91.04, 91.04, 107.04 degrees
Fractional positions:
Er 0.180 0.820 0.000
Er 0.223 0.777 0.500
Er 0.406 0.406 0.182
Er 0.594 0.594 0.818
Er 0.777 0.223 0.500
Er 0.820 0.180 0.000
Sc 0.289 0.289 0.533
Sc 0.711 0.711 0.467
Al 0.006 0.006 0.266
Al 0.047 0.484 0.752
Al 0.484 0.047 0.752
Al 0.516 0.953 0.248
Al 0.953 0.516 0.248
Al 0.994 0.994 0.734


No. 5
ErScAl | PBE-GGA | relaxed

Output
Its formation energy from the elements is -0.30 eV/atom. Its density of states at the Fermi level is 5.9 states/eV per cell.

Cell lengths 3.567, 5.054, 8.002 Å; angles 90.00, 102.88, 90.00 degrees
Fractional positions:
Er 0.080 0.250 0.159
Er 0.920 0.750 0.841
Sc 0.231 0.750 0.463
Sc 0.769 0.250 0.537
Al 0.415 0.250 0.830
Al 0.585 0.750 0.170


No. 6
Er12Sc5Al2 | PBE-GGA | relaxed

Output
Its formation energy from the elements is 0.04 eV/atom. Its density of states at the Fermi level is 30.4 states/eV per cell.

Cell lengths 8.566, 8.566, 8.016 Å; angles 91.71, 91.71, 64.16 degrees
Fractional positions:
Er 0.055 0.055 0.323
Er 0.072 0.674 0.333
Er 0.168 0.541 0.772
Er 0.326 0.928 0.667
Er 0.418 0.418 0.125
Er 0.459 0.832 0.228
Er 0.541 0.168 0.772
Er 0.582 0.582 0.875
Er 0.674 0.072 0.333
Er 0.832 0.459 0.228
Er 0.928 0.326 0.667
Er 0.945 0.945 0.677
Sc 0.188 0.188 0.016
Sc 0.268 0.268 0.426
Sc 0.500 0.500 0.500
Sc 0.732 0.732 0.574
Sc 0.812 0.812 0.984
Al 0.166 0.834 0.000
Al 0.834 0.166 0.000